Entry 1:
A relaxed CsSi2Ag crystal, computed with GGA-PBE.

POSCAR file:
```
CsSi2Ag
1.0
0.000 3.664 3.664
3.664 0.000 3.664
3.664 3.664 0.000
Cs Si Ag
1 2 1
Cartesian
0.000 0.000 0.000
1.832 1.832 1.832
5.497 5.497 5.497
3.664 3.664 3.664
```

Calculated values
Uncorrected formation energy (eV/atom): 0.983

***

Entry 2:
A relaxed Sr2LiZn crystal, computed with GGA-PBE.

POSCAR file:
```
Sr2LiZn
1.0
4.043 -4.043 0.000
4.043 4.043 0.000
-0.014 0.000 3.999
Sr Li Zn
2 1 1
Cartesian
2.022 2.021 0.000
2.022 -2.021 0.000
-0.007 0.000 1.999
4.036 0.000 1.999
```

Calculated values
Energy (eV for the cell shown): -6.84

***

Entry 3:
A relaxed TbCe3Y2N6 crystal, computed with GGA-PBE.

POSCAR file:
```
TbCe3Y2N6
1.0
3.054 -5.290 0.000
3.054 5.290 0.000
-2.037 0.000 5.761
Tb Ce Y N
1 3 2 6
Cartesian
0.000 0.000 0.000
2.036 3.527 2.881
2.036 0.000 2.881
2.036 -3.527 2.881
3.054 1.763 0.000
3.054 -1.763 0.000
1.020 1.767 1.440
0.003 0.000 4.322
1.020 -1.767 1.440
3.052 1.767 4.321
4.068 0.000 1.439
3.052 -1.767 4.321
```

Calculated values
Uncorrected formation energy (eV/atom): -1.587

***

Entry 4:
A relaxed Sr7Pb2N2 crystal, computed with GGA-PBE.

POSCAR file:
```
Sr7Pb2N2
1.0
4.108 -5.883 0.000
4.108 5.883 0.000
0.000 0.000 7.296
Sr Pb N
7 2 2
Cartesian
0.000 0.000 0.000
2.054 2.941 1.665
2.054 2.941 5.632
2.054 -2.941 1.665
2.054 -2.941 5.632
4.108 0.000 1.543
4.108 0.000 5.753
1.542 0.000 3.648
6.674 0.000 3.648
4.108 2.273 0.000
4.108 -2.273 0.000
```

Calculated values
Uncorrected formation energy (eV/atom): -0.340

***

Entry 5:
A relaxed ErI4N2 crystal, computed with GGA-PBE.

POSCAR file:
```
ErI4N2
1.0
3.910 0.000 0.000
-1.953 8.066 0.000
-1.945 -2.889 7.571
Er I N
1 4 2
Cartesian
0.000 0.000 0.000
-1.942 3.809 5.713
0.012 -0.300 5.665
0.001 5.477 1.906
1.955 1.368 1.858
-1.955 6.182 1.389
1.967 -1.004 6.182
```

Calculated values
Uncorrected formation energy (eV/atom): 0.096

***

Entry 6:
A relaxed AcTlSeBr crystal, computed with GGA-PBE.

POSCAR file:
```
AcTlSeBr
1.0
0.000 3.892 3.892
3.892 0.000 3.892
3.892 3.892 0.000
Ac Tl Se Br
1 1 1 1
Cartesian
0.000 0.000 0.000
3.892 3.892 3.892
5.838 5.838 5.838
1.946 1.946 1.946
```

Calculated values
Uncorrected formation energy (eV/atom): -1.142

***

Entry 7:
A relaxed Tb9PmTl2 crystal, computed with GGA-PBE.

POSCAR file:
```
Tb9PmTl2
1.0
4.892 0.000 0.000
0.000 4.892 0.000
0.000 0.000 15.116
Tb Pm Tl
9 1 2
Cartesian
0.000 0.000 0.000
0.000 0.000 5.114
0.000 0.000 10.003
0.000 2.446 2.625
0.000 2.446 7.558
0.000 2.446 12.491
2.446 0.000 2.625
2.446 0.000 7.558
2.446 0.000 12.491
2.446 2.446 0.000
2.446 2.446 5.140
2.446 2.446 9.976
```

Calculated values
Energy (eV for the cell shown): -52.46

***

Entry 8:
A relaxed TmThGa2Co2 crystal, computed with GGA-PBE.

POSCAR file:
```
TmThGa2Co2
1.0
4.259 0.000 0.000
-2.130 3.689 0.000
0.000 0.000 7.140
Tm Th Ga Co
1 1 2 2
Cartesian
0.000 0.000 0.000
0.000 0.000 3.570
0.000 2.459 5.532
2.130 1.230 1.609
0.000 2.459 1.746
2.130 1.230 5.395
```

Calculated values
Energy (eV for the cell shown): -34.91

***

no.,size of the total moment (Bohr magnetons per cell)
1,0.0
2,0.0
3,0.8
4,0.0
5,0.0
6,0.0
7,0.0
8,0.0